{"formula": "Rb2SbPt2", "functional": "GGA-PBE", "state": "optimized geometry", "cell": [[5.0196, -3.5069, 0.0000], [5.0196, 3.5069, 0.0000], [-1.2828, 0.0000, 8.1883]], "species": ["Rb", "Rb", "Rb", "Rb", "Sb", "Sb", "Pt", "Pt", "Pt", "Pt"], "frac_coords": [[0.0236, 0.2537, 0.1363], [0.2537, 0.0236, 0.6363], [0.7463, 0.9764, 0.3637], [0.9764, 0.7463, 0.8637], [0.4280, 0.5720, 0.2500], [0.5720, 0.4280, 0.7500], [0.2295, 0.5026, 0.5014], [0.4974, 0.7705, 0.9986], [0.5026, 0.2295, 0.0014], [0.7705, 0.4974, 0.4986]], "total_magnetization_mub_per_atom": 0.0000, "raw_formation_energy_kj_per_mol_fu": -142.2, "polymorph_energy_mev_per_atom": 0, "spacegroup": "C2/c, No. 15"}



{"formula": "RbSiSb2Pt", "functional": "GGA-PBE", "state": "optimized geometry", "cell": [[5.7055, 0.0000, 0.0000], [0.0000, 5.7055, 0.0000], [0.0000, 0.0000, 4.6032]], "species": ["Rb", "Si", "Sb", "Sb", "Pt"], "frac_coords": [[0.0000, 0.0000, 0.0000], [0.5000, 0.5000, 0.0000], [0.0000, 0.5000, 0.5000], [0.5000, 0.0000, 0.5000], [0.5000, 0.5000, 0.5000]], "total_magnetization_mub_per_atom": 0.0000, "raw_formation_energy_kj_per_mol_fu": 66.7, "spacegroup": "P4/mmm, No. 123"}



{"formula": "RbSnSbPt2", "functional": "GGA-PBE", "state": "optimized geometry", "cell": [[7.6760, 0.0000, 0.0000], [0.0000, 4.5907, 0.0000], [-3.3555, 0.0000, 8.9746]], "species": ["Rb", "Rb", "Sn", "Sn", "Sb", "Sb", "Pt", "Pt", "Pt", "Pt"], "frac_coords": [[0.2019, 0.2500, 0.2585], [0.7981, 0.7500, 0.7415], [0.2811, 0.7500, 0.6190], [0.7189, 0.2500, 0.3810], [0.2281, 0.2500, 0.8812], [0.7719, 0.7500, 0.1188], [0.0821, 0.2500, 0.5846], [0.4073, 0.7500, 0.9246], [0.5927, 0.2500, 0.0754], [0.9179, 0.7500, 0.4154]], "total_magnetization_mub_per_atom": 0.0000, "raw_formation_energy_kj_per_mol_fu": -203.1, "spacegroup": "P2_1/m, No. 11"}